Compound: TbMnPd2
Source: the Alexandria database
Functional: PBE
Structure: relaxed

Properties
DFT formation energy = -0.49 eV per atom
Spin magnetization = 1.136 μB/atom
Symmetry = No. 123
E_tot = -6.54 eV per atom

Cell lengths 3.3534, 3.3534, 6.5507 Å; angles 90.00, 90.00, 90.00 degrees
Fractional coordinates of all 4 atoms:
Tb 0.0000 0.0000 0.0000
Mn 0.0000 0.0000 0.5000
Pd 0.5000 0.5000 0.2791
Pd 0.5000 0.5000 0.7209